SrCaPmLu: optimized geometry, PBE-GGA.

```
SrCaPmLu
1.0
8.447 0.000 0.000
0.000 8.447 0.000
0.000 0.000 8.447
Sr Ca Pm Lu
4 4 4 4
Direct
0.000 0.000 0.000
0.000 0.500 0.500
0.500 0.000 0.500
0.500 0.500 0.000
0.250 0.250 0.750
0.250 0.750 0.250
0.750 0.250 0.250
0.750 0.750 0.750
0.000 0.000 0.500
0.000 0.500 0.000
0.500 0.000 0.000
0.500 0.500 0.500
0.250 0.250 0.250
0.250 0.750 0.750
0.750 0.250 0.750
0.750 0.750 0.250
```

=====

CaTbPmLu: optimized geometry, PBE-GGA.

```
CaTbPmLu
1.0
8.128 0.000 0.000
0.000 8.128 0.000
0.000 0.000 8.128
Ca Tb Pm Lu
4 4 4 4
Direct
0.000 0.000 0.000
0.000 0.500 0.500
0.500 0.000 0.500
0.500 0.500 0.000
0.250 0.250 0.250
0.250 0.750 0.750
0.750 0.250 0.750
0.750 0.750 0.250
0.250 0.250 0.750
0.250 0.750 0.250
0.750 0.250 0.250
0.750 0.750 0.750
0.000 0.000 0.500
0.000 0.500 0.000
0.500 0.000 0.000
0.500 0.500 0.500
```

=====

CaPmTmLu: optimized geometry, PBE-GGA.

```
CaPmTmLu
1.0
8.087 0.000 0.000
0.000 8.087 0.000
0.000 0.000 8.087
Ca Pm Tm Lu
4 4 4 4
Direct
0.000 0.000 0.000
0.000 0.500 0.500
0.500 0.000 0.500
0.500 0.500 0.000
0.250 0.250 0.250
0.250 0.750 0.750
0.750 0.250 0.750
0.750 0.750 0.250
0.250 0.250 0.750
0.250 0.750 0.250
0.750 0.250 0.250
0.750 0.750 0.750
0.000 0.000 0.500
0.000 0.500 0.000
0.500 0.000 0.000
0.500 0.500 0.500
```

=====

CaPr2Lu (PBE-GGA, optimized geometry); E above lowest polymorph = 0.037 eV per atom
1.0
8.256 0.000 0.000
0.000 8.256 0.000
0.000 0.000 8.256
Ca Pr Lu
4 8 4
Direct
0.000 0.000 0.000
0.000 0.500 0.500
0.500 0.000 0.500
0.500 0.500 0.000
0.250 0.250 0.250
0.250 0.250 0.750
0.250 0.750 0.250
0.250 0.750 0.750
0.750 0.250 0.250
0.750 0.250 0.750
0.750 0.750 0.250
0.750 0.750 0.750
0.000 0.000 0.500
0.000 0.500 0.000
0.500 0.000 0.000
0.500 0.500 0.500

=====

CaPrLu (PBE-GGA, optimized geometry); E above lowest polymorph = 0.000 eV per atom
1.0
3.678 0.000 0.000
0.000 3.678 0.000
0.000 0.000 15.600
Ca Pr Lu
2 2 2
Direct
0.000 0.000 0.000
0.500 0.500 0.500
0.000 0.000 0.681
0.500 0.500 0.181
0.000 0.000 0.329
0.500 0.500 0.829

=====

Ca2PrLu (PBE-GGA, optimized geometry); E above lowest polymorph = 0.000 eV per atom
1.0
8.315 0.000 0.000
0.000 8.315 0.000
0.000 0.000 8.315
Ca Pr Lu
8 4 4
Direct
0.250 0.250 0.250
0.250 0.250 0.750
0.250 0.750 0.250
0.250 0.750 0.750
0.750 0.250 0.250
0.750 0.250 0.750
0.750 0.750 0.250
0.750 0.750 0.750
0.000 0.000 0.000
0.000 0.500 0.500
0.500 0.000 0.500
0.500 0.500 0.000
0.000 0.000 0.500
0.000 0.500 0.000
0.500 0.000 0.000
0.500 0.500 0.500

=====

Ca2PrLu (PBE-GGA, optimized geometry); E above lowest polymorph = 0.005 eV per atom
1.0
5.083 0.000 0.000
0.000 5.083 0.000
0.000 0.000 5.604
Ca Pr Lu
2 1 1
Direct
0.000 0.500 0.000
0.500 0.000 0.000
0.000 0.000 0.500
0.500 0.500 0.500

=====

Ca2PrLu (PBE-GGA, optimized geometry); E above lowest polymorph = 0.011 eV per atom
1.0
4.135 0.000 0.000
0.000 4.135 0.000
0.000 0.000 8.437
Ca Pr Lu
2 1 1
Direct
0.000 0.000 0.239
0.000 0.000 0.761
0.500 0.500 0.500
0.500 0.500 0.000

=====

| no. | energy of formation (eV per atom) | D(E_F) (states/eV per cell) |
| --- | --- | --- |
| 1 | 0.20 | 23.790 |
| 2 | 0.13 | 24.632 |
| 3 | 0.15 | 25.780 |
| 4 | 0.10 | 20.733 |
| 5 | 0.06 | 9.736 |
| 6 | 0.16 | 20.415 |
| 7 | 0.16 | 7.865 |
| 8 | 0.17 | 5.902 |